# BeCr2BiOs, optimized geometry, DFT GGA-PBE
data_BeCr2BiOs
_chemical_formula_sum 'Be1 Cr2 Bi1 Os1'
_cell_length_a 4.1375
_cell_length_b 4.1375
_cell_length_c 4.5702
_cell_angle_alpha 90.00
_cell_angle_beta 90.00
_cell_angle_gamma 90.00
_space_group_name_H-M_alt 'P 4/m m m'
_space_group_IT_number 123
_space_group_name_Hall '-P 4 2'
loop_
_atom_site_label
_atom_site_type_symbol
_atom_site_fract_x
_atom_site_fract_y
_atom_site_fract_z
Be1 Be 0.0000 0.0000 0.0000
Cr1 Cr 0.0000 0.5000 0.0000
Bi1 Bi 0.0000 0.0000 0.5000
Os1 Os 0.5000 0.5000 0.5000
# total energy = -6.3609 eV per atom
# crystal system = tetragonal
# magnetization = 4.6 μB per formula unit
# formation energy from the elements = 1.2559 eV per atom